Record 1
The following is a PBE calculation of an optimized crystal structure of CoTc2IrRu, from the Alexandria database. Values from VASP.

calculated formation energy: 1.9132 eV per atom
uncorrected energy: -7.282 eV per atom
total magnetic moment: 0.988 μB/atom

Quantum ESPRESSO input file:
```
&SYSTEM
  ibrav = 0, nat = 5, ntyp = 4
/
ATOMIC_SPECIES
Co 58.93 Co.upf
Tc 98.00 Tc.upf
Ir 192.22 Ir.upf
Ru 101.07 Ru.upf
CELL_PARAMETERS angstrom
4.640 0.000 0.000
0.000 4.640 0.000
0.000 0.000 4.460
ATOMIC_POSITIONS crystal
Co 0.000 0.000 0.000
Tc 0.000 0.500 0.500
Tc 0.500 0.000 0.500
Ir 0.000 0.000 0.500
Ru 0.500 0.500 0.000
```

Record 2
The following is a PBE calculation of an optimized crystal structure of TlCoIrRu2, from the Alexandria database. Values from VASP.

calculated formation energy: 2.8291 eV per atom
uncorrected energy: -4.548 eV per atom
total magnetic moment: 0.853 μB/atom

Quantum ESPRESSO input file:
```
&SYSTEM
  ibrav = 0, nat = 5, ntyp = 4
/
ATOMIC_SPECIES
Tl 204.38 Tl.upf
Co 58.93 Co.upf
Ir 192.22 Ir.upf
Ru 101.07 Ru.upf
CELL_PARAMETERS angstrom
4.946 0.000 0.000
0.000 4.946 0.000
0.000 0.000 4.931
ATOMIC_POSITIONS crystal
Tl 0.000 0.000 0.000
Co 0.500 0.500 0.500
Ir 0.000 0.000 0.500
Ru 0.000 0.500 0.000
Ru 0.500 0.000 0.000
```

Record 3
The following is a PBE calculation of an optimized crystal structure of VCoIrRu, from the Alexandria database. Values from VASP.

calculated formation energy: -0.2756 eV per atom
uncorrected energy: -8.866 eV per atom
total magnetic moment: 0.000 μB/atom

Quantum ESPRESSO input file:
```
&SYSTEM
  ibrav = 0, nat = 4, ntyp = 4
/
ATOMIC_SPECIES
V 50.94 V.upf
Co 58.93 Co.upf
Ir 192.22 Ir.upf
Ru 101.07 Ru.upf
CELL_PARAMETERS angstrom
3.638 0.000 0.000
0.000 3.757 0.000
0.000 0.000 3.798
ATOMIC_POSITIONS crystal
V 0.000 0.000 0.000
Co 0.000 0.500 0.500
Ir 0.500 0.000 0.500
Ru 0.500 0.500 0.000
```

Record 4
The following is a PBE calculation of an optimized crystal structure of YCoIrRu2, from the Alexandria database. Values from VASP.

calculated formation energy: 2.2563 eV per atom
uncorrected energy: -5.940 eV per atom
total magnetic moment: 0.874 μB/atom

Quantum ESPRESSO input file:
```
&SYSTEM
  ibrav = 0, nat = 5, ntyp = 4
/
ATOMIC_SPECIES
Y 88.91 Y.upf
Co 58.93 Co.upf
Ir 192.22 Ir.upf
Ru 101.07 Ru.upf
CELL_PARAMETERS angstrom
4.731 0.000 0.000
0.000 4.731 0.000
0.000 0.000 4.469
ATOMIC_POSITIONS crystal
Y 0.000 0.000 0.000
Co 0.000 0.000 0.500
Ir 0.500 0.500 0.500
Ru 0.000 0.500 0.000
Ru 0.500 0.000 0.000
```

Record 5
The following is a PBE calculation of an optimized crystal structure of CoIrS, from the Alexandria database. Values from VASP.

ΔE_f (raw): 68 meV/atom
energy relative to the lowest polymorph listed for this composition: 127 meV/atom
uncorrected energy: -6.630 eV per atom
total magnetic moment: 0.046 μB/atom

Quantum ESPRESSO input file:
```
&SYSTEM
  ibrav = 0, nat = 6, ntyp = 3
/
ATOMIC_SPECIES
Co 58.93 Co.upf
Ir 192.22 Ir.upf
S 32.06 S.upf
CELL_PARAMETERS angstrom
3.411 0.000 0.000
0.000 2.793 0.000
-0.987 0.000 8.542
ATOMIC_POSITIONS crystal
Co 0.000 0.000 0.000
Co 0.362 0.500 0.630
Ir 0.094 0.000 0.351
Ir 0.546 0.500 0.177
S 0.457 0.500 0.898
S 0.836 0.000 0.583
```

Record 6
The following is a PBE calculation of an optimized crystal structure of CoIr2S, from the Alexandria database. Values from VASP.

ΔE_f (raw): 601 meV/atom
uncorrected energy: -6.637 eV per atom
total magnetic moment: 0.463 μB/atom

Quantum ESPRESSO input file:
```
&SYSTEM
  ibrav = 0, nat = 8, ntyp = 3
/
ATOMIC_SPECIES
Co 58.93 Co.upf
Ir 192.22 Ir.upf
S 32.06 S.upf
CELL_PARAMETERS angstrom
-2.665 2.665 5.167
2.665 -2.665 5.167
2.665 2.665 -5.167
ATOMIC_POSITIONS crystal
Co 0.000 0.000 0.000
Co 0.750 0.250 0.500
Ir 0.144 0.625 0.019
Ir 0.375 0.394 0.519
Ir 0.606 0.125 0.981
Ir 0.875 0.856 0.481
S 0.250 0.750 0.500
S 0.500 0.500 0.000
```

Record 7
The following is a PBE calculation of an optimized crystal structure of CoIr3S, from the Alexandria database. Values from VASP.

ΔE_f (raw): 1022 meV/atom
energy relative to the lowest polymorph listed for this composition: 0 meV/atom
uncorrected energy: -6.542 eV per atom
total magnetic moment: 0.499 μB/atom

Quantum ESPRESSO input file:
```
&SYSTEM
  ibrav = 0, nat = 5, ntyp = 3
/
ATOMIC_SPECIES
Co 58.93 Co.upf
Ir 192.22 Ir.upf
S 32.06 S.upf
CELL_PARAMETERS angstrom
4.363 0.000 0.000
0.000 4.363 0.000
0.000 0.000 4.363
ATOMIC_POSITIONS crystal
Co 0.000 0.000 0.000
Ir 0.000 0.500 0.500
Ir 0.500 0.000 0.500
Ir 0.500 0.500 0.000
S 0.500 0.500 0.500
```

Record 8
The following is a PBE calculation of an optimized crystal structure of CoIrS, from the Alexandria database. Values from VASP.

ΔE_f (raw): 53 meV/atom
energy relative to the lowest polymorph listed for this composition: 111 meV/atom
uncorrected energy: -6.646 eV per atom
total magnetic moment: 0.000 μB/atom

Quantum ESPRESSO input file:
```
&SYSTEM
  ibrav = 0, nat = 6, ntyp = 3
/
ATOMIC_SPECIES
Co 58.93 Co.upf
Ir 192.22 Ir.upf
S 32.06 S.upf
CELL_PARAMETERS angstrom
3.923 0.000 0.000
-0.978 4.202 0.000
-1.105 -1.739 4.876
ATOMIC_POSITIONS crystal
Co 0.000 0.000 0.000
Co 0.124 0.877 0.461
Ir 0.331 0.496 0.798
Ir 0.678 0.263 0.384
S 0.639 0.808 0.578
S 0.901 0.490 0.059
```

Record 9
The following is a PBE calculation of an optimized crystal structure of CoIrS, from the Alexandria database. Values from VASP.

ΔE_f (raw): 21 meV/atom
energy relative to the lowest polymorph listed for this composition: 80 meV/atom
uncorrected energy: -6.677 eV per atom
total magnetic moment: 0.000 μB/atom

Quantum ESPRESSO input file:
```
&SYSTEM
  ibrav = 0, nat = 6, ntyp = 3
/
ATOMIC_SPECIES
Co 58.93 Co.upf
Ir 192.22 Ir.upf
S 32.06 S.upf
CELL_PARAMETERS angstrom
3.454 0.000 0.000
0.000 5.618 0.000
0.000 0.000 4.030
ATOMIC_POSITIONS crystal
Co 0.000 0.046 0.000
Co 0.500 0.954 0.500
Ir 0.000 0.592 0.733
Ir 0.500 0.408 0.233
S 0.000 0.215 0.521
S 0.500 0.785 0.021
```

Record 10
The following is a PBE calculation of an optimized crystal structure of CoIr2S2, from the Alexandria database. Values from VASP.

ΔE_f (raw): 677 meV/atom
energy relative to the lowest polymorph listed for this composition: 129 meV/atom
uncorrected energy: -5.940 eV per atom
total magnetic moment: 0.336 μB/atom

Quantum ESPRESSO input file:
```
&SYSTEM
  ibrav = 0, nat = 5, ntyp = 3
/
ATOMIC_SPECIES
Co 58.93 Co.upf
Ir 192.22 Ir.upf
S 32.06 S.upf
CELL_PARAMETERS angstrom
-1.949 1.949 5.330
1.949 -1.949 5.330
1.949 1.949 -5.330
ATOMIC_POSITIONS crystal
Co 0.000 0.000 0.000
Ir 0.250 0.750 0.500
Ir 0.750 0.250 0.500
S 0.378 0.378 0.000
S 0.622 0.622 0.000
```

Record 11
The following is a PBE calculation of an optimized crystal structure of CoIrS, from the Alexandria database. Values from VASP.

ΔE_f (raw): -5 meV/atom
energy relative to the lowest polymorph listed for this composition: 54 meV/atom
uncorrected energy: -6.703 eV per atom
total magnetic moment: 0.000 μB/atom

Quantum ESPRESSO input file:
```
&SYSTEM
  ibrav = 0, nat = 6, ntyp = 3
/
ATOMIC_SPECIES
Co 58.93 Co.upf
Ir 192.22 Ir.upf
S 32.06 S.upf
CELL_PARAMETERS angstrom
5.029 -1.461 0.000
5.029 1.461 0.000
-0.228 0.000 5.414
ATOMIC_POSITIONS crystal
Co 0.000 0.000 0.000
Co 0.206 0.206 0.297
Ir 0.395 0.395 0.626
Ir 0.666 0.666 0.701
S 0.530 0.530 0.304
S 0.789 0.789 0.060
```

Record 12
The following is a PBE calculation of an optimized crystal structure of CoIrS, from the Alexandria database. Values from VASP.

ΔE_f (raw): 30 meV/atom
energy relative to the lowest polymorph listed for this composition: 89 meV/atom
uncorrected energy: -6.668 eV per atom
total magnetic moment: 0.160 μB/atom

Quantum ESPRESSO input file:
```
&SYSTEM
  ibrav = 0, nat = 6, ntyp = 3
/
ATOMIC_SPECIES
Co 58.93 Co.upf
Ir 192.22 Ir.upf
S 32.06 S.upf
CELL_PARAMETERS angstrom
5.121 -1.450 0.000
5.121 1.450 0.000
-0.842 0.000 5.581
ATOMIC_POSITIONS crystal
Co 0.000 0.000 0.000
Co 0.241 0.241 0.599
Ir 0.437 0.437 0.355
Ir 0.693 0.693 0.204
S 0.039 0.039 0.637
S 0.793 0.793 0.873
```

Look up the total magnetic moment of the sixth one. 0.463 μB/atom